Below is NiBi2SbO6 after structural relaxation, with properties calculated at the GGA+U level.

Cell: 5.082 5.563 10.341 Å, 90.00 109.30 90.00°
Fractional positions:
Ni1 0.000 0.000 0.000
Ni2 0.000 0.500 0.500
Bi1 0.279 0.041 0.769
Bi2 0.279 0.459 0.269
Bi3 0.721 0.541 0.731
Bi4 0.721 0.959 0.231
Sb1 0.500 0.000 0.500
Sb2 0.500 0.500 0.000
O1 0.191 0.042 0.321
O2 0.191 0.458 0.821
O3 0.306 0.743 0.082
O4 0.306 0.757 0.582
O5 0.332 0.247 0.093
O6 0.332 0.253 0.593
O7 0.668 0.747 0.407
O8 0.668 0.753 0.907
O9 0.694 0.243 0.418
O10 0.694 0.257 0.918
O11 0.809 0.542 0.179
O12 0.809 0.958 0.679

DFT total energy, eV per atom: -5.57
Theoretical density, Mg/m³: 8.36